AlTeMo GGA-PBE relaxed; energy above the lowest structure with this stoichiometry = 403 meV per atom; space-group type = P-6m2, No. 187; formation energy from raw total energies = 41.9 kJ/mol of atoms
1.0
4.746 0.000 0.000
-2.373 4.110 0.000
0.000 0.000 2.937
Mo Te Al
1 1 1
Cartesian
2.373 1.370 1.469 Mo
0.000 2.740 1.469 Te
0.000 0.000 2.937 Al

Ba6GeCl5 GGA-PBE relaxed; space-group type = C2/m, No. 12; formation energy from raw total energies = -160.6 kJ/mol of atoms
1.0
7.968 0.168 1.196
1.945 6.688 3.900
0.134 0.061 7.998
Ge Ba Cl
1 6 5
Cartesian
0.000 0.000 0.000 Ge
6.222 0.691 3.836 Ba
3.142 4.018 5.215 Ba
2.415 1.693 1.254 Ba
7.498 5.162 3.842 Ba
6.904 2.898 7.880 Ba
3.824 6.225 9.258 Ba
4.389 1.206 6.640 Cl
0.692 2.246 3.972 Cl
4.957 3.428 2.548 Cl
1.387 4.502 7.926 Cl
5.658 5.710 6.454 Cl